{
  "formula": "VNi2O4",
  "functional": "PBE+U",
  "state": "relaxed",
  "lattice_angstrom": [[-2.9367, 2.9367, 4.2812], [2.9367, -2.9367, 4.2812], [2.9367, 2.9367, -4.2812]],
  "species": ["V", "V", "Ni", "Ni", "Ni", "Ni", "O", "O", "O", "O", "O", "O", "O", "O"],
  "frac_coords": [[0.3750, 0.6250, 0.7500], [0.6250, 0.3750, 0.2500], [0.0000, 0.0000, 0.0000], [0.0000, 0.0000, 0.5000], [0.0000, 0.5000, 0.0000], [0.5000, 0.0000, 0.5000], [0.2436, 0.2437, 0.9999], [0.2437, 0.2436, 0.4999], [0.2437, 0.7437, 0.0001], [0.2563, 0.7563, 0.4999], [0.7437, 0.2437, 0.5001], [0.7563, 0.2563, 0.9999], [0.7564, 0.7563, 0.0001], [0.7563, 0.7564, 0.5001]],
  "total_energy_ha_per_atom": -0.2236
}